VASP calculation (PBE) on crystalline SiAgPb2 at its relaxed geometry.

Cell: 5.4116 5.4116 4.8183 Å, 63.55 63.55 52.86°
Closest atoms and distances in Å follow each position.
Fractional coordinates of all 4 atoms:
Si  0.7500  0.7500  0.7500  8 Pb 3.20, 4 Ag 3.41
Pb  0.5002  0.5002  0.4998  4 Si 3.20, 4 Ag 3.20, 4 Pb 3.41
Pb  0.9998  0.9998  0.0002  4 Si 3.20, 4 Ag 3.20, 4 Pb 3.41
Ag  0.2500  0.2500  0.2500  8 Pb 3.20, 4 Si 3.41

Values from the calculation:
ρ (g/cm³): 9.4
Energy (eV/atom): -3.573
DOS(E_F) (states/eV/f.u.): 1.44
Uncorrected formation energy (eV per atom): 0.35
Size of the total moment (μB/f.u.): 0.0

=====

VASP calculation (PBE) on crystalline Pm2Sm3Dy6Tl at its relaxed geometry.

Cell: 6.1411 6.1411 11.7762 Å, 95.01 95.01 120.04°
Closest atoms and distances in Å follow each position.
Fractional coordinates of all 12 atoms:
Sm  0.5000  0.5000  0.5000  6 Sm 3.54-3.55, 6 Dy 3.56-3.58
Sm  0.8328  0.1672  0.5000  6 Sm 3.54-3.56, 6 Dy 3.56-3.59
Sm  0.1672  0.8328  0.5000  6 Sm 3.54-3.56, 6 Dy 3.56-3.59
Dy  0.2455  0.2455  0.7515  6 Dy 3.48-3.58, 1 Tl 3.52, 2 Pm 3.54, 3 Sm 3.56-3.58
Dy  0.4096  0.0819  0.2474  6 Dy 3.48-3.58, 1 Tl 3.50, 2 Pm 3.53-3.54, 3 Sm 3.56-3.59
Dy  0.7545  0.7545  0.2485  6 Dy 3.48-3.58, 1 Tl 3.52, 2 Pm 3.54, 3 Sm 3.56-3.58
Dy  0.9181  0.5904  0.7526  6 Dy 3.48-3.58, 1 Tl 3.50, 2 Pm 3.53-3.54, 3 Sm 3.56-3.59
Dy  0.5904  0.9181  0.7526  6 Dy 3.48-3.58, 1 Tl 3.50, 2 Pm 3.53-3.54, 3 Sm 3.56-3.59
Dy  0.0819  0.4096  0.2474  6 Dy 3.48-3.58, 1 Tl 3.50, 2 Pm 3.53-3.54, 3 Sm 3.56-3.59
Tl  0.0000  0.0000  0.0000  6 Dy 3.50-3.52, 6 Pm 3.54-3.55
Pm  0.3336  0.6664  0.0000  6 Dy 3.53-3.54, 3 Pm 3.54-3.55, 3 Tl 3.54-3.55
Pm  0.6664  0.3336  0.0000  6 Dy 3.53-3.54, 3 Pm 3.54-3.55, 3 Tl 3.54-3.55

Values from the calculation:
ρ (g/cm³): 8.4
Energy (eV/atom): -4.497
Energy of formation (eV per atom): -0.0268
DOS(E_F) (states/eV/f.u.): 16.06
Size of the total moment (μB/f.u.): 0.0

=====

VASP calculation (PBE) on crystalline NaHfBr3 at its relaxed geometry.

Cell: 5.3286 5.3286 5.3286 Å, 90.00 90.00 90.00°
Closest atoms and distances in Å follow each position.
Fractional coordinates of all 5 atoms:
Na  0.5000  0.5000  0.5000  12 Br 3.77
Hf  0.0000  0.0000  0.0000  6 Br 2.66
Br  0.0000  0.5000  0.0000  2 Hf 2.66
Br  0.5000  0.0000  0.0000  2 Hf 2.66
Br  0.0000  0.0000  0.5000  2 Hf 2.66

Values from the calculation:
ρ (g/cm³): 4.8
Energy relative to the lowest polymorph listed for this composition (eV per atom): 0.000
Energy (eV/atom): -4.072
DOS(E_F) (states/eV/f.u.): 2.93
Uncorrected formation energy (eV per atom): -0.81
Size of the total moment (μB/f.u.): 0.0

=====

VASP calculation (PBE) on crystalline VHRu2 at its relaxed geometry.

Cell: 5.8954 5.8954 4.8995 Å, 53.01 53.01 90.00°
Closest atoms and distances in Å follow each position.
Fractional coordinates of all 8 atoms:
Ru  0.3750  0.4616  0.7500  2 H 1.87
Ru  0.5384  0.1250  0.2500  2 H 1.87
Ru  0.2116  0.6250  0.2500  2 H 1.87
Ru  0.8750  0.7884  0.7500  2 H 1.87
H  0.5000  0.5000  0.0000  4 Ru 1.87
H  0.2500  0.7500  0.5000  4 Ru 1.87
V  0.0000  0.0000  0.0000  8 Ru 2.55-2.61, 2 H 2.57
V  0.7500  0.2500  0.5000  8 Ru 2.55-2.61, 2 H 2.57

Values from the calculation:
ρ (g/cm³): 9.4
Energy relative to the lowest polymorph listed for this composition (eV per atom): 0.082
Energy (eV/atom): -7.715
DOS(E_F) (states/eV/f.u.): 1.19
Size of the total moment (μB/f.u.): 0.0

=====

VASP calculation (PBE) on crystalline Pr3CrP2Rh9 at its relaxed geometry.

Cell: 6.0906 6.0906 8.6487 Å, 90.00 90.00 120.00°
Closest atoms and distances in Å follow each position.
Fractional coordinates of all 15 atoms:
Rh  0.6850  0.8425  0.3042  1 P 2.22, 1 Cr 2.37
Rh  0.5000  0.0000  0.0000  2 P 2.25
Rh  0.8425  0.6850  0.6958  1 P 2.22, 1 Cr 2.37
Rh  0.0000  0.5000  0.0000  2 P 2.25
Rh  0.8425  0.1575  0.6958  1 P 2.22, 1 Cr 2.37
Rh  0.3150  0.1575  0.6958  1 P 2.22, 1 Cr 2.37
Rh  0.1575  0.8425  0.3042  1 P 2.22, 1 Cr 2.37
Rh  0.1575  0.3150  0.3042  1 P 2.22, 1 Cr 2.37
Rh  0.5000  0.5000  0.0000  2 P 2.25
P  0.3333  0.6667  0.1629  6 Rh 2.22-2.25
P  0.6667  0.3333  0.8371  6 Rh 2.22-2.25
Pr  0.6667  0.3333  0.3627  9 Rh 3.09-3.43
Pr  0.3333  0.6667  0.6373  9 Rh 3.09-3.43
Pr  0.0000  0.0000  0.0000  12 Rh 3.05-3.11
Cr  0.0000  0.0000  0.5000  6 Rh 2.37

Values from the calculation:
ρ (g/cm³): 8.7
Energy (eV/atom): -7.231
Energy of formation (eV per atom): -0.5013
DOS(E_F) (states/eV/f.u.): 8.29
Size of the total moment (μB/f.u.): 0.0

=====

VASP calculation (PBE) on crystalline Tl2ZnSb at its relaxed geometry.

Cell: 6.1719 6.1719 3.3200 Å, 89.90 89.90 118.66°
Closest atoms and distances in Å follow each position.
Fractional coordinates of all 4 atoms:
Tl  0.0000  0.0000  0.0000  4 Tl 3.15-3.32, 4 Sb 3.50-3.51, 4 Zn 3.50-3.51
Tl  0.5000  0.5000  0.0000  4 Tl 3.15-3.32, 4 Zn 3.50-3.51, 4 Sb 3.50-3.51
Zn  0.5000  0.0000  0.5000  2 Sb 3.15, 2 Zn 3.32, 8 Tl 3.50-3.51
Sb  0.0000  0.5000  0.5000  2 Zn 3.15, 2 Sb 3.32, 8 Tl 3.50-3.51

Values from the calculation:
ρ (g/cm³): 8.9
Energy relative to the lowest polymorph listed for this composition (eV per atom): 0.132
Energy (eV/atom): -2.377
DOS(E_F) (states/eV/f.u.): 1.80
Uncorrected formation energy (eV per atom): 0.16
Size of the total moment (μB/f.u.): 0.0

=====

VASP calculation (PBE) on crystalline AlOsPt2 at its relaxed geometry.

Cell: 2.7725 2.7725 7.6670 Å, 90.00 90.00 90.00°
Closest atoms and distances in Å follow each position.
Fractional coordinates of all 4 atoms:
Os  0.5000  0.5000  0.7500  4 Os 2.77, 8 Pt 2.81
Al  0.5000  0.5000  0.2500  8 Pt 2.67, 4 Al 2.77
Pt  0.0000  0.0000  0.0133  4 Al 2.67, 4 Pt 2.77, 4 Os 2.81
Pt  0.0000  0.0000  0.4867  4 Al 2.67, 4 Pt 2.77, 4 Os 2.81

Values from the calculation:
ρ (g/cm³): 17.1
Energy (eV/atom): -7.066
Energy of formation (eV per atom): -0.3030
DOS(E_F) (states/eV/f.u.): 4.45
Size of the total moment (μB/f.u.): 0.0

=====

VASP calculation (PBE) on crystalline Tl3Cd2Au4 at its relaxed geometry.

Cell: 4.7804 6.6511 7.3749 Å, 92.44 90.00 111.06°
Closest atoms and distances in Å follow each position.
Fractional coordinates of all 9 atoms:
Cd  0.2757  0.5514  0.3095  6 Au 2.87-3.00
Cd  0.7243  0.4486  0.6905  6 Au 2.87-3.00
Au  0.1071  0.2141  0.5701  2 Au 2.81-2.87, 3 Cd 2.91-2.92
Au  0.2335  0.4670  0.9055  3 Au 2.79-2.87, 3 Cd 2.87-3.00, 2 Tl 3.01-3.02
Au  0.7665  0.5330  0.0945  3 Au 2.79-2.87, 3 Cd 2.87-3.00, 2 Tl 3.01-3.02
Au  0.8929  0.7859  0.4299  2 Au 2.81-2.87, 3 Cd 2.91-2.92
Tl  0.4385  0.8769  0.7008  5 Au 3.02-3.35, 2 Tl 3.32
Tl  0.5615  0.1231  0.2992  5 Au 3.02-3.35, 2 Tl 3.32
Tl  0.0000  0.0000  0.0000  2 Au 3.01, 4 Tl 3.32

Values from the calculation:
ρ (g/cm³): 12.4
Energy (eV/atom): -2.515
Energy of formation (eV per atom): -0.0662
DOS(E_F) (states/eV/f.u.): 3.24
Size of the total moment (μB/f.u.): 0.0

=====

VASP calculation (PBE) on crystalline Np2SnGe3Pt4 at its relaxed geometry.

Cell: 4.2191 4.2191 11.0736 Å, 90.00 90.00 90.00°
Closest atoms and distances in Å follow each position.
Fractional coordinates of all 10 atoms:
Pt  0.0000  0.5000  0.3491  3 Ge 2.43-2.69, 2 Sn 2.69
Pt  0.5000  0.5000  0.0000  4 Ge 2.55
Pt  0.5000  0.0000  0.6509  3 Ge 2.43-2.69, 2 Sn 2.69
Pt  0.0000  0.0000  0.0000  4 Ge 2.55
Np  0.5000  0.0000  0.2373  6 Ge 3.21-3.59, 8 Pt 3.23-3.37, 2 Sn 3.59
Np  0.0000  0.5000  0.7627  6 Ge 3.21-3.59, 8 Pt 3.23-3.37, 2 Sn 3.59
Ge  0.0000  0.0000  0.5000  4 Pt 2.69, 4 Sn 2.98
Ge  0.0000  0.5000  0.1295  5 Pt 2.43-2.55
Ge  0.5000  0.0000  0.8705  5 Pt 2.43-2.55
Sn  0.5000  0.5000  0.5000  4 Pt 2.69, 4 Ge 2.98

Values from the calculation:
ρ (g/cm³): 13.4
Energy (eV/atom): -7.286
Energy of formation (eV per atom): -0.4965
DOS(E_F) (states/eV/f.u.): 21.69
Size of the total moment (μB/f.u.): 8.3

=====

VASP calculation (PBE) on crystalline Tb2Sm6Cd at its relaxed geometry.

Cell: 5.0453 10.6667 10.6659 Å, 90.00 90.00 90.00°
Closest atoms and distances in Å follow each position.
Fractional coordinates of all 18 atoms:
Sm  0.9999  0.6682  0.5008  1 Cd 3.54, 3 Tb 3.55-3.57, 8 Sm 3.56-3.60
Sm  0.5001  0.1682  0.9992  1 Cd 3.54, 3 Tb 3.55-3.57, 8 Sm 3.56-3.60
Sm  0.4999  0.8318  0.0008  1 Cd 3.54, 3 Tb 3.55-3.57, 8 Sm 3.56-3.60
Sm  0.0001  0.3318  0.4992  1 Cd 3.54, 3 Tb 3.55-3.57, 8 Sm 3.56-3.60
Sm  0.5000  0.4992  0.6682  1 Cd 3.54, 3 Tb 3.55-3.57, 8 Sm 3.56-3.60
Sm  0.0000  0.9992  0.8318  1 Cd 3.54, 3 Tb 3.55-3.57, 8 Sm 3.56-3.60
Sm  0.0000  0.3380  0.1620  4 Tb 3.50-3.62, 2 Cd 3.51, 6 Sm 3.56-3.60
Sm  0.5000  0.1620  0.6620  4 Tb 3.50-3.62, 2 Cd 3.51, 6 Sm 3.56-3.60
Sm  0.0000  0.6620  0.8380  4 Tb 3.50-3.62, 2 Cd 3.51, 6 Sm 3.56-3.60
Sm  0.5000  0.5008  0.3318  1 Cd 3.54, 3 Tb 3.55-3.57, 8 Sm 3.56-3.60
Sm  0.0000  0.0008  0.1682  1 Cd 3.54, 3 Tb 3.55-3.57, 8 Sm 3.56-3.60
Sm  0.5000  0.8380  0.3380  4 Tb 3.50-3.62, 2 Cd 3.51, 6 Sm 3.56-3.60
Tb  0.0000  0.6659  0.1658  10 Sm 3.50-3.62, 2 Cd 3.55
Tb  0.5000  0.8341  0.6658  10 Sm 3.50-3.62, 2 Cd 3.55
Tb  0.5000  0.1659  0.3342  10 Sm 3.50-3.62, 2 Cd 3.55
Tb  0.0000  0.3341  0.8342  10 Sm 3.50-3.62, 2 Cd 3.55
Cd  0.0000  0.0000  0.5000  8 Sm 3.51-3.54, 4 Tb 3.55
Cd  0.5000  0.5000  0.0000  8 Sm 3.51-3.54, 4 Tb 3.55

Values from the calculation:
ρ (g/cm³): 7.7
Energy relative to the lowest polymorph listed for this composition (eV per atom): 0.000
Energy (eV/atom): -4.292
Energy of formation (eV per atom): -0.0150
DOS(E_F) (states/eV/f.u.): 12.98
Size of the total moment (μB/f.u.): 0.0

=====

VASP calculation (PBE) on crystalline ScCr2Ni at its relaxed geometry.

Cell: 4.9933 4.9933 2.5496 Å, 90.00 90.00 121.49°
Closest atoms and distances in Å follow each position.
Fractional coordinates of all 4 atoms:
Cr  0.5000  0.5000  0.0000  4 Cr 2.44-2.55
Cr  0.0000  0.0000  0.0000  4 Cr 2.44-2.55
Sc  0.0000  0.5000  0.5000  2 Ni 2.44, 2 Sc 2.55
Ni  0.5000  0.0000  0.5000  2 Sc 2.44, 2 Ni 2.55

Values from the calculation:
ρ (g/cm³): 6.4
Energy relative to the lowest polymorph listed for this composition (eV per atom): 0.340
Energy (eV/atom): -7.457
Energy of formation (eV per atom): 0.3833
DOS(E_F) (states/eV/f.u.): 5.76
Size of the total moment (μB/f.u.): 0.0

=====

VASP calculation (PBE) on crystalline NaHo2In at its relaxed geometry.

Cell: 3.5701 3.5701 9.3577 Å, 90.00 90.00 90.00°
Closest atoms and distances in Å follow each position.
Fractional coordinates of all 4 atoms:
In  0.5000  0.5000  0.0000  8 Ho 3.22, 4 In 3.57
Ho  0.0000  0.0000  0.7871  4 In 3.22, 4 Ho 3.57
Ho  0.0000  0.0000  0.2129  4 In 3.22, 4 Ho 3.57
Na  0.5000  0.5000  0.5000  4 Na 3.57, 8 Ho 3.69

Values from the calculation:
ρ (g/cm³): 6.5
Energy (eV/atom): -3.361
Energy of formation (eV per atom): -0.0578
DOS(E_F) (states/eV/f.u.): 3.35
Size of the total moment (μB/f.u.): 0.0